[1]
! GGA-PBE Rb8B3S8, optimized geometry; values from VASP
! * SG: No. 12
! * energy relative to the elements, uncorrected: -16.88 eV per formula unit
&SYSTEM
  ibrav = 0, nat = 19, ntyp = 3
/
ATOMIC_SPECIES
Rb 85.47 Rb.upf
B 10.81 B.upf
S 32.06 S.upf
CELL_PARAMETERS angstrom
11.801 -3.293 0.000
11.801 3.293 0.000
-3.044 0.000 8.787
ATOMIC_POSITIONS crystal
Rb 0.027 0.027 0.248
Rb 0.196 0.196 0.787
Rb 0.324 0.324 0.538
Rb 0.377 0.377 0.054
Rb 0.623 0.623 0.946
Rb 0.676 0.676 0.462
Rb 0.804 0.804 0.213
Rb 0.973 0.973 0.752
B 0.182 0.182 0.194
B 0.500 0.500 0.500
B 0.818 0.818 0.806
S 0.114 0.114 0.023
S 0.175 0.175 0.385
S 0.257 0.257 0.169
S 0.485 0.485 0.666
S 0.515 0.515 0.334
S 0.743 0.743 0.831
S 0.825 0.825 0.615
S 0.886 0.886 0.977

=====

[2]
! GGA-PBE SrP2Se, optimized geometry; values from VASP
! * SG: No. 99
! * energy relative to the elements, uncorrected: -1.50 eV per formula unit
&SYSTEM
  ibrav = 0, nat = 4, ntyp = 3
/
ATOMIC_SPECIES
Sr 87.62 Sr.upf
P 30.97 P.upf
Se 78.96 Se.upf
CELL_PARAMETERS angstrom
4.023 0.000 0.000
0.000 4.023 0.000
0.000 0.000 6.337
ATOMIC_POSITIONS crystal
Sr 0.000 0.000 0.000
P 0.000 0.000 0.482
P 0.500 0.500 0.517
Se 0.500 0.500 0.882

=====

[3]
! GGA-PBE ZrBeNi2, optimized geometry; values from VASP
! * SG: No. 8
! * E above lowest polymorph: 163 meV per atom
&SYSTEM
  ibrav = 0, nat = 4, ntyp = 3
/
ATOMIC_SPECIES
Zr 91.22 Zr.upf
Be 9.01 Be.upf
Ni 58.69 Ni.upf
CELL_PARAMETERS angstrom
3.300 -1.901 0.000
3.300 1.901 0.000
-2.194 0.000 4.322
ATOMIC_POSITIONS crystal
Zr 0.000 0.000 0.000
Be 0.798 0.798 0.394
Ni 0.208 0.208 0.624
Ni 0.457 0.457 0.370

=====

[4]
! GGA-PBE Ca2CdW, optimized geometry; values from VASP
! * SG: No. 123
! * calculated total energy: -14.77 eV for the cell shown
&SYSTEM
  ibrav = 0, nat = 4, ntyp = 3
/
ATOMIC_SPECIES
Ca 40.08 Ca.upf
Cd 112.41 Cd.upf
W 183.84 W.upf
CELL_PARAMETERS angstrom
4.514 0.000 0.000
0.000 4.514 0.000
0.000 0.000 4.721
ATOMIC_POSITIONS crystal
Ca 0.000 0.500 0.000
Ca 0.500 0.000 0.000
Cd 0.000 0.000 0.500
W 0.500 0.500 0.500

=====

[5]
! GGA-PBE Nd6ZnNi2I3, optimized geometry; values from VASP
! * SG: No. 12
! * energy relative to the elements, uncorrected: -7.26 eV per formula unit
&SYSTEM
  ibrav = 0, nat = 12, ntyp = 4
/
ATOMIC_SPECIES
Nd 144.24 Nd.upf
Zn 65.41 Zn.upf
Ni 58.69 Ni.upf
I 126.90 I.upf
CELL_PARAMETERS angstrom
3.658 -6.276 0.000
3.658 6.276 0.000
-2.418 0.000 7.988
ATOMIC_POSITIONS crystal
Nd 0.077 0.432 0.805
Nd 0.206 0.206 0.188
Nd 0.432 0.077 0.805
Nd 0.568 0.923 0.195
Nd 0.794 0.794 0.812
Nd 0.923 0.568 0.195
Zn 0.500 0.500 0.000
Ni 0.170 0.830 0.000
Ni 0.830 0.170 0.000
I 0.000 0.000 0.500
I 0.340 0.660 0.500
I 0.660 0.340 0.500

=====

[6]
! GGA-PBE TiTc3N, optimized geometry; values from VASP
! * SG: No. 221
! * E above lowest polymorph: 0 meV per atom
! * energy relative to the elements, uncorrected: -1.16 eV per formula unit
&SYSTEM
  ibrav = 0, nat = 5, ntyp = 3
/
ATOMIC_SPECIES
Ti 47.87 Ti.upf
Tc 98.00 Tc.upf
N 14.01 N.upf
CELL_PARAMETERS angstrom
4.060 0.000 0.000
0.000 4.060 0.000
0.000 0.000 4.060
ATOMIC_POSITIONS crystal
Ti 0.000 0.000 0.000
Tc 0.000 0.500 0.500
Tc 0.500 0.000 0.500
Tc 0.500 0.500 0.000
N 0.500 0.500 0.500

=====

[7]
! GGA-PBE LiPmThFe, optimized geometry; values from VASP
! * SG: No. 216
! * calculated total energy: -21.90 eV for the cell shown
&SYSTEM
  ibrav = 0, nat = 4, ntyp = 4
/
ATOMIC_SPECIES
Li 6.94 Li.upf
Pm 145.00 Pm.upf
Th 232.04 Th.upf
Fe 55.84 Fe.upf
CELL_PARAMETERS angstrom
0.000 3.525 3.525
3.525 0.000 3.525
3.525 3.525 0.000
ATOMIC_POSITIONS crystal
Li 0.000 0.000 0.000
Pm 0.250 0.250 0.250
Th 0.750 0.750 0.750
Fe 0.500 0.500 0.500

=====

[8]
! GGA-PBE CsCdHgSb2, optimized geometry; values from VASP
! * SG: No. 119
! * energy relative to the elements, uncorrected: -1.05 eV per formula unit
&SYSTEM
  ibrav = 0, nat = 5, ntyp = 4
/
ATOMIC_SPECIES
Cs 132.91 Cs.upf
Cd 112.41 Cd.upf
Hg 200.59 Hg.upf
Sb 121.76 Sb.upf
CELL_PARAMETERS angstrom
-2.765 2.765 5.561
2.765 -2.765 5.561
2.765 2.765 -5.561
ATOMIC_POSITIONS crystal
Cs 0.000 0.000 0.000
Cd 0.250 0.750 0.500
Hg 0.750 0.250 0.500
Sb 0.369 0.369 0.000
Sb 0.631 0.631 0.000

=====

[9]
! GGA-PBE AsRhSe2, optimized geometry; values from VASP
! * SG: No. 139
! * energy relative to the elements, uncorrected: -0.06 eV per formula unit
&SYSTEM
  ibrav = 0, nat = 4, ntyp = 3
/
ATOMIC_SPECIES
As 74.92 As.upf
Rh 102.91 Rh.upf
Se 78.96 Se.upf
CELL_PARAMETERS angstrom
-2.675 2.675 2.605
2.675 -2.675 2.605
2.675 2.675 -2.605
ATOMIC_POSITIONS crystal
As 0.000 0.000 0.000
Rh 0.500 0.500 0.000
Se 0.000 0.500 0.500
Se 0.500 0.000 0.500

=====

[10]
! GGA-PBE LaBCl3, optimized geometry; values from VASP
! * SG: No. 221
! * E above lowest polymorph: 0 meV per atom
! * energy relative to the elements, uncorrected: -3.11 eV per formula unit
&SYSTEM
  ibrav = 0, nat = 5, ntyp = 3
/
ATOMIC_SPECIES
La 138.91 La.upf
B 10.81 B.upf
Cl 35.45 Cl.upf
CELL_PARAMETERS angstrom
5.564 0.000 0.000
0.000 5.564 0.000
0.000 0.000 5.564
ATOMIC_POSITIONS crystal
La 0.000 0.000 0.000
B 0.500 0.500 0.500
Cl 0.000 0.000 0.500
Cl 0.000 0.500 0.000
Cl 0.500 0.000 0.000

=====

[11]
! GGA-PBE EuInNi, optimized geometry; values from VASP
! * SG: No. 216
! * calculated total energy: -19.33 eV for the cell shown
&SYSTEM
  ibrav = 0, nat = 3, ntyp = 3
/
ATOMIC_SPECIES
Eu 151.96 Eu.upf
In 114.82 In.upf
Ni 58.69 Ni.upf
CELL_PARAMETERS angstrom
0.000 3.324 3.324
3.324 0.000 3.324
3.324 3.324 0.000
ATOMIC_POSITIONS crystal
Eu 0.000 0.000 0.000
In 0.500 0.500 0.500
Ni 0.250 0.250 0.250

=====

[12]
! GGA-PBE CdInTe2N, optimized geometry; values from VASP
! * SG: No. 123
! * E above lowest polymorph: 0 meV per atom
! * energy relative to the elements, uncorrected: 4.07 eV per formula unit
&SYSTEM
  ibrav = 0, nat = 5, ntyp = 4
/
ATOMIC_SPECIES
Cd 112.41 Cd.upf
In 114.82 In.upf
Te 127.60 Te.upf
N 14.01 N.upf
CELL_PARAMETERS angstrom
5.960 0.000 0.000
0.000 5.960 0.000
0.000 0.000 3.973
ATOMIC_POSITIONS crystal
Cd 0.000 0.000 0.000
In 0.500 0.500 0.500
Te 0.000 0.500 0.500
Te 0.500 0.000 0.500
N 0.500 0.500 0.000

=====

no.,total moment (μB/cell)
1,0.5
2,0.0
3,0.0
4,0.9
5,0.0
6,0.0
7,0.0
8,0.0
9,0.0
10,1.0
11,7.1
12,0.0